An optimized crystal structure of Pr4CSeS2. Source: the Alexandria database, functional PBE-GGA.

Values from the calculation:
Electronic total energy, eV per atom: -6.480
Total moment, μB/f.u.: 0.00
Uncorrected formation energy, eV/atom: -1.470
Density, g/cm3: 6.12

Cell lengths 5.791, 5.791, 11.624 Å; angles 90.00, 90.00, 90.00 degrees
Space group I-4m2 (No. 119)
Symmetry-distinct sites (fractional):
1 Pr 0.000 0.000 0.223 [4 per cell]
2 Pr 0.000 0.500 0.505 [4 per cell]
3 C 0.000 0.000 0.000 [2 per cell]
4 Se 0.000 0.500 0.250 [2 per cell]
5 S 0.000 0.000 0.500 [2 per cell]
6 S 0.000 0.500 0.750 [2 per cell]